[1]
Entry from the Alexandria database: a geometry-optimized Li2VOF4 structure (GGA-PBEsol).

```
32
Lattice="-1.683 3.189 -3.376 -5.147 -4.294 -1.491 -6.060 4.680 7.442" Properties=species:S:1:pos:R:3 pbc="T T T"
F -10.399 4.941 2.792
Li -4.369 1.640 -0.957
F -7.982 4.648 1.409
Li -7.099 -0.386 -1.510
V -6.488 -0.109 1.363
F -7.347 1.998 1.091
F -5.619 -0.816 -2.593
F -11.076 2.903 1.302
V -1.740 0.359 -0.561
F -5.095 0.728 2.382
Li -8.977 1.454 0.083
O -5.853 3.602 2.781
F -5.549 5.330 0.742
F -4.913 2.773 0.446
F -5.625 0.286 -0.273
O -9.754 2.479 3.665
F -6.900 3.687 5.913
F -5.169 -3.349 -1.432
Li -4.073 2.425 2.169
F -8.104 -0.310 0.302
F -2.532 2.031 -0.167
V -6.384 3.649 1.248
Li -8.178 1.284 4.220
F -7.273 6.075 4.906
O -3.943 2.624 -2.708
O -7.844 1.502 -1.824
Li -4.130 -1.666 -1.667
Li -5.448 3.311 4.773
F -7.606 0.097 2.874
F -3.254 0.080 -1.748
Li -8.920 5.545 3.919
V -11.132 3.181 3.172
```

**ΔE_f (raw)**: -2798 meV per atom
**Offset from the most stable computed form**: 32 meV per atom

[2]
Entry from the Alexandria database: a geometry-optimized Li2VOF4 structure (GGA-PBEsol).

```
32
Lattice="5.068 0.000 0.000 0.000 6.849 0.000 0.000 0.000 9.591" Properties=species:S:1:pos:R:3 pbc="T T T"
Li 2.728 0.593 8.798
F 3.892 4.530 4.107
O 3.721 0.229 1.071
Li 2.340 4.018 5.588
F 2.857 0.114 3.514
Li 2.388 4.961 2.691
F 4.348 2.436 2.512
F 1.358 5.744 5.484
F 3.254 4.414 7.307
F 3.711 2.319 8.902
F 4.745 6.735 8.310
Li 0.194 2.831 0.793
V 2.501 0.449 5.385
F 1.877 5.671 9.282
F 0.720 5.860 2.283
O 1.187 3.195 8.520
F 3.191 2.246 5.104
F 0.657 1.179 4.486
V 2.567 3.873 9.001
O 1.347 3.654 3.725
V 0.033 6.401 0.590
Li 2.680 1.536 2.104
F 2.211 3.539 1.281
F 1.814 0.989 7.079
Li 4.874 6.256 4.003
Li 4.922 5.313 6.900
O 3.881 6.620 5.866
F 4.411 4.603 0.309
F 0.323 3.311 6.076
Li 0.146 1.889 7.486
V 5.035 2.976 4.205
F 1.177 1.105 0.689
```

**ΔE_f (raw)**: -2795 meV per atom
**Offset from the most stable computed form**: 35 meV per atom

[3]
Entry from the Alexandria database: a geometry-optimized Li2VOF5 structure (GGA-PBEsol).

```
9
Lattice="-1.721 -4.827 -1.489 5.323 0.276 0.262 -1.954 1.009 4.862" Properties=species:S:1:pos:R:3 pbc="T T T"
V -3.645 -3.786 3.346
Li -0.914 -3.020 1.358
F -1.180 -1.226 1.084
Li 2.610 -0.471 2.233
F 0.934 0.308 1.601
F 2.287 0.824 3.659
F 2.389 -3.383 -0.722
F 0.896 -1.496 -0.214
O -2.697 -2.802 2.476
```

**ΔE_f (raw)**: -2779 meV per atom

[4]
Entry from the Alexandria database: a geometry-optimized Li7VO5F structure (GGA-PBEsol).

```
14
Lattice="5.459 0.046 0.008 2.684 4.809 -0.018 2.618 1.668 4.710" Properties=species:S:1:pos:R:3 pbc="T T T"
Li 6.033 4.723 1.373
Li 6.411 1.907 1.512
Li 4.718 1.458 3.226
Li 7.280 3.512 3.122
F 4.575 1.498 1.289
Li 5.246 3.406 4.522
O 6.526 1.859 3.737
V 5.399 6.313 4.603
O 7.395 3.388 1.095
O 4.136 4.859 1.155
O 6.030 4.959 3.523
O 3.587 2.981 3.596
Li 3.678 3.047 1.692
Li 4.110 4.790 3.105
```

**ΔE_f (raw)**: -2126 meV per atom
**Offset from the most stable computed form**: 33 meV per atom

[5]
Entry from the Alexandria database: a geometry-optimized LiV2OF5 structure (GGA-PBEsol).

```
27
Lattice="-0.918 4.799 -1.293 -3.721 -2.873 1.855 3.203 4.026 12.664" Properties=species:S:1:pos:R:3 pbc="T T T"
F -2.613 0.472 6.634
O 1.369 2.222 9.976
F -0.666 4.182 9.880
F 1.717 2.510 7.234
Li 0.054 1.321 11.324
V -1.788 4.733 6.205
O -2.038 3.060 5.653
F -0.141 4.303 7.177
V -0.943 1.367 2.144
O -3.711 -1.228 2.521
F 0.891 6.169 11.241
F -0.256 5.577 1.840
F -1.505 5.568 11.995
F -1.093 -0.589 1.669
F -0.766 3.219 2.762
V 0.601 3.200 8.715
Li -0.077 2.481 6.070
F -2.067 0.917 3.750
F -2.729 1.671 1.307
F -0.104 3.172 12.373
V -2.594 -1.826 1.284
Li -3.883 0.849 2.633
F -0.695 1.870 8.018
V 1.901 6.565 9.608
F -0.826 5.357 4.572
F 1.949 4.663 9.009
V -3.133 1.743 5.204
```

**ΔE_f (raw)**: -2752 meV per atom
**Offset from the most stable computed form**: 31 meV per atom

[6]
Entry from the Alexandria database: a geometry-optimized Li2VOF3 structure (GGA-PBEsol).

```
28
Lattice="5.853 0.000 0.000 0.000 5.853 0.000 0.000 0.000 8.341" Properties=species:S:1:pos:R:3 pbc="T T T"
F 2.839 4.420 6.225
Li 2.961 4.337 4.159
F 0.062 1.495 6.336
Li 4.328 1.435 5.187
F 5.791 4.357 2.165
F 4.357 0.062 0.080
Li 1.435 1.525 3.101
O 5.750 1.361 1.950
V 4.445 0.059 2.194
Li 2.891 1.516 8.330
F 4.411 2.776 0.016
O 1.361 0.103 8.207
O 0.103 4.492 6.121
F 2.776 1.442 6.272
F 3.014 1.433 2.055
V 5.794 4.445 4.279
V 0.059 1.407 0.108
V 1.407 5.794 6.364
Li 4.337 2.891 2.074
F 1.442 3.076 4.187
O 4.492 5.750 4.036
F 1.433 2.839 8.311
F 3.076 4.411 2.101
F 1.495 5.791 4.251
Li 1.516 2.961 6.244
F 4.420 3.014 4.140
Li 4.418 4.328 7.272
Li 1.525 4.418 1.016
```

**ΔE_f (raw)**: -2722 meV per atom
**Offset from the most stable computed form**: 0 meV per atom

[7]
Entry from the Alexandria database: a geometry-optimized LiV2OF5 structure (GGA-PBEsol).

```
18
Lattice="4.629 0.000 0.021 0.000 4.634 0.000 -0.079 0.000 9.062" Properties=species:S:1:pos:R:3 pbc="T T T"
F 1.437 2.606 0.045
F 1.354 2.552 6.068
Li 2.281 3.452 4.540
V 2.151 3.588 7.573
F 3.712 2.027 4.586
Li -0.073 1.181 9.061
O 3.266 4.437 2.835
V 4.504 1.046 3.052
O 0.912 0.196 7.356
F 3.214 4.379 0.037
V -0.015 1.127 6.162
V 2.339 3.507 1.642
F 1.322 2.495 3.002
F 0.916 0.248 1.528
F 0.860 0.254 4.557
F 3.597 2.139 7.543
F 3.191 4.386 6.070
F 3.708 2.081 1.547
```

**ΔE_f (raw)**: -2783 meV per atom
**Offset from the most stable computed form**: 0 meV per atom

[8]
Entry from the Alexandria database: a geometry-optimized Li2VOF5 structure (GGA-PBEsol).

```
18
Lattice="-4.327 0.179 2.536 1.679 -4.094 3.153 3.149 4.898 4.682" Properties=species:S:1:pos:R:3 pbc="T T T"
F -0.227 0.836 8.247
Li -1.470 -0.516 7.147
F 2.647 2.378 6.968
F -1.309 0.551 5.485
F 0.054 -1.595 6.875
O -2.598 -1.584 3.771
F 1.446 -1.961 3.842
O 1.226 0.568 5.003
F -0.485 0.360 3.049
Li 1.424 3.901 6.635
F 0.914 2.520 3.371
F -0.031 2.744 5.783
F 2.252 4.520 5.056
F -1.355 -3.421 5.057
V -3.069 -2.721 4.779
Li -1.722 3.412 6.321
Li 0.197 -2.368 5.209
V -0.047 1.385 4.508
```

**ΔE_f (raw)**: -2803 meV per atom

[9]
Entry from the Alexandria database: a geometry-optimized Li2VOF3 structure (GGA-PBEsol).

```
28
Lattice="-2.593 2.636 3.263 0.040 -3.847 3.140 9.589 3.808 4.543" Properties=species:S:1:pos:R:3 pbc="T T T"
F 1.140 2.384 4.314
F 1.320 0.063 2.648
O 3.574 3.325 5.421
F 8.400 2.890 6.056
V 4.160 1.554 5.778
V 3.000 3.025 3.668
V 9.091 3.610 4.308
F 7.257 0.502 6.969
F 2.284 -1.221 4.922
O -1.446 1.649 3.432
F 2.322 1.025 6.459
Li 1.391 0.454 4.466
Li 0.056 1.855 2.272
O 0.102 -2.380 3.544
F 3.502 1.091 3.913
V 0.662 -1.669 1.874
Li 1.990 0.790 0.943
Li 5.488 4.012 4.846
Li 6.147 2.441 2.912
F -0.111 0.220 5.537
F 5.966 2.118 5.107
F 7.014 3.034 8.860
O 4.671 -0.247 6.098
Li 6.804 2.604 7.030
F 5.757 4.469 6.810
F 4.831 1.973 7.622
Li 3.306 -0.619 3.127
Li 7.482 1.040 5.106
```

**ΔE_f (raw)**: -2672 meV per atom
**Offset from the most stable computed form**: 49 meV per atom

[10]
Entry from the Alexandria database: a geometry-optimized LiV2O5F structure (GGA-PBEsol).

```
36
Lattice="4.877 0.000 0.000 0.000 5.480 0.000 0.000 0.000 13.604" Properties=species:S:1:pos:R:3 pbc="T T T"
V 2.327 2.155 2.323
O 3.457 0.731 1.370
V 2.502 5.115 4.691
V 2.375 5.115 8.913
F 0.792 2.202 5.641
O 3.899 1.912 12.282
Li 0.000 0.572 6.802
V 0.064 0.365 2.111
O 4.218 2.137 3.392
O 3.859 4.750 8.172
O 3.189 0.736 5.664
V 4.766 3.325 4.479
O 4.243 4.813 3.502
O 3.072 0.667 10.304
O 3.098 3.344 10.194
Li 2.439 2.316 6.802
O 1.805 0.667 3.300
V 0.111 3.325 9.125
F 1.647 3.279 12.443
Li 0.000 3.164 0.000
F 4.085 2.202 7.964
O 0.750 4.745 1.138
O 1.460 3.569 8.125
O 1.018 4.750 5.432
F 3.231 3.279 1.162
O 0.634 4.813 10.102
O 1.688 0.736 7.940
Li 2.439 4.908 0.000
O 3.417 3.569 5.479
V 4.814 0.365 11.493
O 4.127 4.745 12.466
V 2.550 2.155 11.281
O 1.420 0.731 12.234
O 1.779 3.344 3.410
O 0.978 1.912 1.323
O 0.659 2.137 10.213
```

**ΔE_f (raw)**: -2393 meV per atom

[11]
Entry from the Alexandria database: a geometry-optimized Li8VO5F structure (GGA-PBEsol).

```
15
Lattice="-4.695 1.640 1.881 2.711 -3.703 2.755 4.457 3.746 0.506" Properties=species:S:1:pos:R:3 pbc="T T T"
Li 1.769 -0.031 1.956
O 2.400 -1.711 2.503
O -2.714 1.951 1.972
Li -0.437 -0.090 4.002
Li -0.906 1.956 1.541
O 5.202 -0.294 3.130
Li 2.942 1.796 1.228
O 0.074 3.392 2.599
V 2.484 1.659 5.008
Li -2.383 -0.068 2.286
F -0.099 0.310 2.171
O 2.611 1.448 3.028
Li 4.703 1.613 2.976
Li 3.370 -0.240 3.551
Li 0.771 1.776 3.182
```

**ΔE_f (raw)**: -2035 meV per atom

[12]
Entry from the Alexandria database: a geometry-optimized Li3V2OF7 structure (GGA-PBEsol).

```
13
Lattice="5.792 0.144 -0.005 2.754 5.097 -0.005 2.784 1.708 4.870" Properties=species:S:1:pos:R:3 pbc="T T T"
F 4.277 2.623 3.840
F 2.761 1.694 1.114
Li 5.693 3.492 2.435
F 6.932 2.547 3.620
F 8.507 5.218 3.717
V 5.744 5.089 0.053
V 7.140 2.813 0.053
F 4.367 4.332 1.186
Li 2.746 1.684 3.062
Li 8.609 5.280 1.764
F 5.841 1.929 1.186
O 7.071 4.337 1.082
F 5.413 5.024 3.620
```

**ΔE_f (raw)**: -2783 meV per atom

[13]
Entry from the Alexandria database: a geometry-optimized Li4VO3F2 structure (GGA-PBEsol).

```
20
Lattice="-5.093 -1.171 -0.777 -0.829 -4.578 -2.505 -1.029 -4.519 6.368" Properties=species:S:1:pos:R:3 pbc="T T T"
O -4.754 -2.778 0.573
F -2.252 -2.126 1.897
Li -4.252 -3.112 -1.273
V -1.810 -5.130 -0.620
Li -6.164 -6.929 1.719
F -4.700 -8.142 1.188
O -4.116 -5.936 4.898
F -5.653 -4.711 -1.401
Li -3.380 -6.479 1.349
Li -4.178 -5.844 -2.061
O -2.836 -4.332 -1.813
Li -0.788 -3.339 1.366
F -1.299 -5.557 4.486
Li -3.572 -3.788 1.736
O -2.198 -7.490 2.513
Li -2.700 -7.156 4.358
V -5.142 -5.138 3.706
Li -2.773 -4.423 5.146
O -2.093 -4.881 1.103
O -4.859 -5.387 1.982
```

**ΔE_f (raw)**: -2477 meV per atom
**Offset from the most stable computed form**: 23 meV per atom

[14]
Entry from the Alexandria database: a geometry-optimized LiV2OF5 structure (GGA-PBEsol).

```
27
Lattice="5.090 0.000 0.000 -2.545 4.408 0.000 0.000 0.000 13.495" Properties=species:S:1:pos:R:3 pbc="T T T"
F 0.609 1.711 13.320
F 2.524 1.620 6.845
V 1.713 3.035 5.674
F 2.685 1.412 2.347
F 0.141 2.996 11.148
F 3.615 0.000 0.000
V -0.773 1.407 1.176
F -1.368 3.025 8.822
F 0.759 4.080 4.323
F -0.020 2.788 6.650
F 3.303 0.328 9.172
F 3.154 2.697 0.175
V 4.258 1.373 7.820
Li -0.777 1.346 11.246
F -0.120 3.031 2.151
Li 1.768 3.062 2.249
V -0.940 4.374 10.173
F 1.177 1.383 4.673
V 1.771 3.001 12.319
O 0.219 0.380 2.249
Li 1.554 0.000 6.747
F 0.738 1.277 8.997
O -2.325 4.028 11.246
F -1.807 3.130 4.498
V 1.605 0.034 3.322
O 4.651 0.000 6.747
F 2.425 1.376 11.344
```

**ΔE_f (raw)**: -2747 meV per atom
**Offset from the most stable computed form**: 36 meV per atom